Entry from Alexandria: a relaxed structure of LaAg3H (PBE-GGA).

CIF file:
```
data_LaAg3H
_symmetry_space_group_name_H-M 'P m -3 m'
_symmetry_Int_Tables_number 221
_symmetry_space_group_name_Hall '-P 4 2 3'
_cell_length_a 4.596
_cell_length_b 4.596
_cell_length_c 4.596
_cell_angle_alpha 90.00
_cell_angle_beta 90.00
_cell_angle_gamma 90.00
loop_
_atom_site_label
_atom_site_fract_x
_atom_site_fract_y
_atom_site_fract_z
La1 0.000 0.000 0.000
Ag1 0.000 0.500 0.500
H1 0.500 0.500 0.500
```

final energy = -3.135 eV per atom
DOS at the Fermi energy = 2.80 states/eV per cell
total moment = 0.00 μB per formula unit